No. 1
Here is a relaxed structure of ScTcS2N from the Alexandria database. Energies are from GGA-PBE.

The structure in POSCAR format:
```
ScTcS2N
1.0
4.7938 0.0000 0.0000
0.0000 4.7938 0.0000
0.0000 0.0000 3.7076
Sc Tc S N
1 1 2 1
Direct
0.0000 0.0000 0.0000
0.5000 0.5000 0.5000
0.0000 0.5000 0.5000
0.5000 0.0000 0.5000
0.5000 0.5000 0.0000
```

Computed properties:
The space group is P4/mmm.

No. 2
Here is a relaxed structure of ScTeS2N from the Alexandria database. Energies are from GGA-PBE.

The structure in POSCAR format:
```
ScTeS2N
1.0
5.0948 0.0000 0.0000
0.0000 5.0948 0.0000
0.0000 0.0000 3.9464
Sc Te S N
1 1 2 1
Direct
0.0000 0.0000 0.0000
0.5000 0.5000 0.5000
0.0000 0.5000 0.5000
0.5000 0.0000 0.5000
0.5000 0.5000 0.0000
```

Computed properties:
The space group is P4/mmm.

No. 3
Here is a relaxed structure of ScTeS2N from the Alexandria database. Energies are from GGA-PBE.

The structure in POSCAR format:
```
ScTeS2N
1.0
5.0578 0.0000 0.0000
0.0000 5.0578 0.0000
0.0000 0.0000 3.9683
Sc Te S N
1 1 2 1
Direct
0.0000 0.0000 0.0000
0.5000 0.5000 0.5000
0.0000 0.5000 0.0000
0.5000 0.0000 0.0000
0.0000 0.0000 0.5000
```

Computed properties:
The space group is P4/mmm.

| no. | excess energy over the best structure of this formula in the dataset (meV/atom) | uncorrected formation energy (meV per atom) | M_tot (Bohr magnetons per cell) |
| --- | --- | --- | --- |
| 1 | 0.0 | -339 | 0.00 |
| 2 | 177.9 | 356 | 0.41 |
| 3 | 0.0 | 178 | 0.00 |